Entry from Alexandria via LeMat-Bulk: Co2IrCl after structural relaxation (PBE-GGA).

Cell: 2.786 4.405 4.406 Å, 90.00 90.00 90.00°
Each line ends with the local moment (μB).
Fractional positions:
Ir (0.500, 0.000, 0.500)  0.41
Co (0.000, 0.000, 0.000)  1.70
Co (0.500, 0.500, 0.000)  1.91
Cl (0.000, 0.500, 0.500)  0.08

Properties
formation energy from raw total energies = 792 meV/atom
DOS at the Fermi energy = 1.273 states/eV/atom
crystal system = orthorhombic
energy relative to the lowest polymorph listed for this composition = 0.530 eV per atom